[1]
{
  "formula": "MgFeW2",
  "functional": "PBEsol",
  "state": "optimized geometry",
  "lattice": [[-1.496, 2.174, 4.449], [1.496, -2.174, 4.449], [1.496, 2.174, -4.449]],
  "species": ["Mg", "Fe", "W", "W"],
  "frac_coords": [[0.000, 0.000, 0.000], [0.500, 0.500, 0.000], [0.268, 0.768, 0.500], [0.732, 0.232, 0.500]],
  "e_form_kj_per_mol_atoms": 29.6,
  "total_energy_ev_per_cell": -37.1,
  "n_ef_per_ev_atom": 0.68
}

[2]
{
  "formula": "KNa2",
  "functional": "PBEsol",
  "state": "optimized geometry",
  "lattice": [[7.307, 0.000, 0.000], [-3.653, 6.328, 0.000], [0.000, 0.000, 12.024]],
  "species": ["K", "K", "K", "K", "Na", "Na", "Na", "Na", "Na", "Na", "Na", "Na"],
  "frac_coords": [[0.333, 0.667, 0.062], [0.333, 0.667, 0.438], [0.667, 0.333, 0.562], [0.667, 0.333, 0.938], [0.000, 0.000, 0.000], [0.000, 0.000, 0.500], [0.168, 0.337, 0.750], [0.168, 0.832, 0.750], [0.337, 0.168, 0.250], [0.663, 0.832, 0.750], [0.832, 0.168, 0.250], [0.832, 0.663, 0.250]],
  "e_form_kj_per_mol_atoms": -0.6,
  "total_energy_ev_per_cell": -15.8,
  "n_ef_per_ev_atom": 0.52
}

[3]
{
  "formula": "MgCuPb",
  "functional": "PBEsol",
  "state": "optimized geometry",
  "lattice": [[0.000, 3.140, 3.140], [3.140, 0.000, 3.140], [3.140, 3.140, 0.000]],
  "species": ["Mg", "Cu", "Pb"],
  "frac_coords": [[0.000, 0.000, 0.000], [0.750, 0.750, 0.750], [0.500, 0.500, 0.500]],
  "e_form_kj_per_mol_atoms": -2.4,
  "total_energy_ev_per_cell": -10.1,
  "n_ef_per_ev_atom": 0.35
}

[4]
{
  "formula": "AlZnTe2",
  "functional": "PBEsol",
  "state": "optimized geometry",
  "lattice": [[1.937, -3.821, 0.000], [1.937, 3.821, 0.000], [0.000, 0.000, 7.665]],
  "species": ["Al", "Zn", "Te", "Te"],
  "frac_coords": [[0.000, 0.000, 0.000], [0.000, 0.000, 0.500], [0.500, 0.500, 0.249], [0.500, 0.500, 0.751]],
  "raw_formation_energy_ev_per_fu": 0.222,
  "total_energy_ev_per_cell": -12.5,
  "de_polymorph_mev_per_atom": 0.0,
  "n_ef_per_ev_atom": 0.24
}

[5]
{
  "formula": "LiB2MoC",
  "functional": "PBEsol",
  "state": "optimized geometry",
  "lattice": [[3.429, 0.000, 0.000], [0.000, 3.429, 0.000], [0.000, 0.000, 3.585]],
  "species": ["Li", "B", "B", "Mo", "C"],
  "frac_coords": [[0.000, 0.000, 0.000], [0.000, 0.500, 0.500], [0.500, 0.000, 0.500], [0.500, 0.500, 0.000], [0.000, 0.000, 0.500]],
  "e_form_kj_per_mol_atoms": 113.4,
  "total_energy_ev_per_cell": -31.5,
  "n_ef_per_ev_atom": 0.50
}

[6]
{
  "formula": "AgHg2WBr",
  "functional": "PBEsol",
  "state": "optimized geometry",
  "lattice": [[5.712, 0.000, 0.000], [0.000, 5.712, 0.000], [0.000, 0.000, 4.736]],
  "species": ["Ag", "Hg", "Hg", "W", "Br"],
  "frac_coords": [[0.000, 0.000, 0.000], [0.000, 0.500, 0.500], [0.500, 0.000, 0.500], [0.500, 0.500, 0.000], [0.000, 0.000, 0.500]],
  "raw_formation_energy_ev_per_fu": 9.164,
  "total_energy_ev_per_cell": -11.0,
  "n_ef_per_ev_atom": 0.73
}

[7]
{
  "formula": "Si2Ag6O7",
  "functional": "PBEsol",
  "state": "optimized geometry",
  "lattice": [[6.378, -4.850, 0.000], [6.378, 4.850, 0.000], [-2.772, 0.000, 10.100]],
  "species": ["Si", "Si", "Si", "Si", "Si", "Si", "Ag", "Ag", "Ag", "Ag", "Ag", "Ag", "Ag", "Ag", "Ag", "Ag", "Ag", "Ag", "Ag", "Ag", "Ag", "Ag", "Ag", "Ag", "O", "O", "O", "O", "O", "O", "O", "O", "O", "O", "O", "O", "O", "O", "O", "O", "O", "O", "O", "O", "O"],
  "frac_coords": [[0.105, 0.105, 0.128], [0.199, 0.199, 0.611], [0.347, 0.347, 0.124], [0.653, 0.653, 0.876], [0.801, 0.801, 0.389], [0.895, 0.895, 0.872], [0.005, 0.368, 0.867], [0.096, 0.452, 0.369], [0.150, 0.845, 0.660], [0.155, 0.850, 0.340], [0.277, 0.558, 0.851], [0.368, 0.005, 0.867], [0.442, 0.723, 0.149], [0.452, 0.096, 0.369], [0.460, 0.460, 0.628], [0.540, 0.540, 0.372], [0.548, 0.904, 0.631], [0.558, 0.277, 0.851], [0.632, 0.995, 0.133], [0.723, 0.442, 0.149], [0.845, 0.150, 0.660], [0.850, 0.155, 0.340], [0.904, 0.548, 0.631], [0.995, 0.632, 0.133], [0.000, 0.000, 0.000], [0.015, 0.737, 0.438], [0.027, 0.751, 0.782], [0.211, 0.211, 0.065], [0.246, 0.246, 0.776], [0.247, 0.531, 0.066], [0.249, 0.973, 0.218], [0.263, 0.985, 0.562], [0.299, 0.299, 0.537], [0.376, 0.376, 0.286], [0.469, 0.753, 0.934], [0.531, 0.247, 0.066], [0.624, 0.624, 0.714], [0.701, 0.701, 0.463], [0.737, 0.015, 0.438], [0.751, 0.027, 0.782], [0.753, 0.469, 0.934], [0.754, 0.754, 0.224], [0.789, 0.789, 0.935], [0.973, 0.249, 0.218], [0.985, 0.263, 0.562]],
  "raw_formation_energy_ev_per_fu": -16.521,
  "total_energy_ev_per_cell": -253.9,
  "de_polymorph_mev_per_atom": 3.6,
  "n_ef_per_ev_atom": 0.05
}

[8]
{
  "formula": "Rb3AgF",
  "functional": "PBEsol",
  "state": "optimized geometry",
  "lattice": [[5.571, 0.000, 0.000], [0.000, 5.571, 0.000], [0.000, 0.000, 5.571]],
  "species": ["Rb", "Rb", "Rb", "Ag", "F"],
  "frac_coords": [[0.000, 0.000, 0.500], [0.000, 0.500, 0.000], [0.500, 0.000, 0.000], [0.500, 0.500, 0.500], [0.000, 0.000, 0.000]],
  "raw_formation_energy_ev_per_fu": -4.747,
  "total_energy_ev_per_cell": -13.1,
  "n_ef_per_ev_atom": 0.51
}

[9]
{
  "formula": "Zr2P2WO12",
  "functional": "PBEsol",
  "state": "optimized geometry",
  "lattice": [[12.441, 0.000, 0.000], [0.000, 9.234, 0.000], [0.000, 0.000, 9.414]],
  "species": ["Zr", "Zr", "Zr", "Zr", "Zr", "Zr", "Zr", "Zr", "P", "P", "P", "P", "P", "P", "P", "P", "W", "W", "W", "W", "O", "O", "O", "O", "O", "O", "O", "O", "O", "O", "O", "O", "O", "O", "O", "O", "O", "O", "O", "O", "O", "O", "O", "O", "O", "O", "O", "O", "O", "O", "O", "O", "O", "O", "O", "O", "O", "O", "O", "O", "O", "O", "O", "O", "O", "O", "O", "O"],
  "frac_coords": [[0.130, 0.226, 0.047], [0.130, 0.774, 0.547], [0.370, 0.274, 0.547], [0.370, 0.726, 0.047], [0.630, 0.274, 0.953], [0.630, 0.726, 0.453], [0.870, 0.226, 0.453], [0.870, 0.774, 0.953], [0.143, 0.118, 0.395], [0.143, 0.882, 0.895], [0.357, 0.382, 0.895], [0.357, 0.618, 0.395], [0.643, 0.382, 0.605], [0.643, 0.618, 0.105], [0.857, 0.118, 0.105], [0.857, 0.882, 0.605], [0.000, 0.463, 0.750], [0.000, 0.537, 0.250], [0.500, 0.037, 0.250], [0.500, 0.963, 0.750], [0.028, 0.173, 0.420], [0.028, 0.827, 0.920], [0.071, 0.350, 0.873], [0.071, 0.650, 0.373], [0.094, 0.425, 0.159], [0.094, 0.575, 0.659], [0.150, 0.044, 0.930], [0.150, 0.956, 0.430], [0.174, 0.141, 0.238], [0.174, 0.859, 0.738], [0.221, 0.201, 0.492], [0.221, 0.799, 0.992], [0.279, 0.299, 0.992], [0.279, 0.701, 0.492], [0.326, 0.359, 0.738], [0.326, 0.641, 0.238], [0.350, 0.456, 0.430], [0.350, 0.544, 0.930], [0.406, 0.075, 0.659], [0.406, 0.925, 0.159], [0.429, 0.150, 0.373], [0.429, 0.850, 0.873], [0.472, 0.327, 0.920], [0.472, 0.673, 0.420], [0.528, 0.327, 0.580], [0.528, 0.673, 0.080], [0.571, 0.150, 0.127], [0.571, 0.850, 0.627], [0.594, 0.075, 0.841], [0.594, 0.925, 0.341], [0.650, 0.456, 0.070], [0.650, 0.544, 0.570], [0.674, 0.359, 0.762], [0.674, 0.641, 0.262], [0.721, 0.299, 0.508], [0.721, 0.701, 0.008], [0.779, 0.201, 0.008], [0.779, 0.799, 0.508], [0.826, 0.141, 0.262], [0.826, 0.859, 0.762], [0.850, 0.044, 0.570], [0.850, 0.956, 0.070], [0.906, 0.425, 0.341], [0.906, 0.575, 0.841], [0.929, 0.350, 0.627], [0.929, 0.650, 0.127], [0.972, 0.173, 0.080], [0.972, 0.827, 0.580]],
  "raw_formation_energy_ev_per_fu": -45.703,
  "total_energy_ev_per_cell": -609.1,
  "n_ef_per_ev_atom": 0.00
}

[10]
{
  "formula": "Mn2NiO3",
  "functional": "PBEsol",
  "state": "optimized geometry",
  "lattice": [[-1.517, 2.154, 4.459], [1.517, -2.154, 4.459], [1.517, 2.154, -4.459]],
  "species": ["Mn", "Mn", "Ni", "O", "O", "O"],
  "frac_coords": [[0.164, 0.164, 0.000], [0.836, 0.836, 0.000], [0.500, 0.500, 0.000], [0.000, 0.500, 0.500], [0.329, 0.829, 0.500], [0.671, 0.171, 0.500]],
  "raw_formation_energy_ev_per_fu": -5.654,
  "total_energy_ev_per_cell": -47.1,
  "de_polymorph_mev_per_atom": 0.0,
  "n_ef_per_ev_atom": 0.79
}

[11]
{
  "formula": "Na5Ca2AlP4O16",
  "functional": "PBEsol",
  "state": "optimized geometry",
  "lattice": [[5.510, -6.961, 0.000], [5.510, 6.961, 0.000], [-5.082, 0.000, 9.178]],
  "species": ["Na", "Na", "Na", "Na", "Na", "Na", "Na", "Na", "Na", "Na", "Ca", "Ca", "Ca", "Ca", "Al", "Al", "P", "P", "P", "P", "P", "P", "P", "P", "O", "O", "O", "O", "O", "O", "O", "O", "O", "O", "O", "O", "O", "O", "O", "O", "O", "O", "O", "O", "O", "O", "O", "O", "O", "O", "O", "O", "O", "O", "O", "O"],
  "frac_coords": [[0.007, 0.993, 0.500], [0.041, 0.302, 0.815], [0.302, 0.041, 0.315], [0.470, 0.499, 0.989], [0.499, 0.470, 0.489], [0.537, 0.796, 0.356], [0.609, 0.966, 0.144], [0.796, 0.537, 0.856], [0.966, 0.609, 0.644], [0.993, 0.007, 0.000], [0.057, 0.276, 0.337], [0.276, 0.057, 0.837], [0.525, 0.739, 0.797], [0.739, 0.525, 0.297], [0.130, 0.648, 0.203], [0.648, 0.130, 0.703], [0.196, 0.693, 0.500], [0.226, 0.737, 0.973], [0.279, 0.364, 0.160], [0.364, 0.279, 0.660], [0.693, 0.196, 0.000], [0.737, 0.226, 0.473], [0.792, 0.851, 0.653], [0.851, 0.792, 0.153], [0.022, 0.547, 0.406], [0.068, 0.581, 0.869], [0.141, 0.447, 0.167], [0.179, 0.825, 0.623], [0.204, 0.899, 0.961], [0.228, 0.239, 0.718], [0.239, 0.228, 0.218], [0.239, 0.774, 0.393], [0.256, 0.291, 0.001], [0.258, 0.760, 0.137], [0.291, 0.256, 0.501], [0.331, 0.621, 0.557], [0.386, 0.717, 0.952], [0.447, 0.141, 0.667], [0.456, 0.501, 0.258], [0.501, 0.456, 0.758], [0.547, 0.022, 0.906], [0.581, 0.068, 0.369], [0.621, 0.331, 0.057], [0.640, 0.922, 0.632], [0.716, 0.748, 0.214], [0.717, 0.386, 0.452], [0.748, 0.716, 0.714], [0.760, 0.258, 0.637], [0.768, 0.791, 0.001], [0.774, 0.239, 0.893], [0.791, 0.768, 0.501], [0.825, 0.179, 0.123], [0.899, 0.204, 0.461], [0.922, 0.640, 0.132], [0.958, 0.998, 0.756], [0.998, 0.958, 0.256]],
  "raw_formation_energy_ev_per_fu": -71.232,
  "total_energy_ev_per_cell": -387.5,
  "n_ef_per_ev_atom": 0.00
}

[12]
{
  "formula": "K2CuPt",
  "functional": "PBEsol",
  "state": "optimized geometry",
  "lattice": [[0.000, 3.698, 3.698], [3.698, 0.000, 3.698], [3.698, 3.698, 0.000]],
  "species": ["K", "K", "Cu", "Pt"],
  "frac_coords": [[0.250, 0.250, 0.250], [0.750, 0.750, 0.750], [0.000, 0.000, 0.000], [0.500, 0.500, 0.500]],
  "e_form_kj_per_mol_atoms": 63.4,
  "total_energy_ev_per_cell": -10.9,
  "de_polymorph_mev_per_atom": 486.4,
  "n_ef_per_ev_atom": 0.59
}

[13]
{
  "formula": "Se2O5",
  "functional": "PBEsol",
  "state": "optimized geometry",
  "lattice": [[4.678, 0.000, 0.000], [0.000, 6.875, 0.000], [-0.215, 0.000, 13.613]],
  "species": ["Se", "Se", "Se", "Se", "Se", "Se", "Se", "Se", "O", "O", "O", "O", "O", "O", "O", "O", "O", "O", "O", "O", "O", "O", "O", "O", "O", "O", "O", "O"],
  "frac_coords": [[0.001, 0.231, 0.126], [0.001, 0.269, 0.626], [0.137, 0.235, 0.864], [0.137, 0.265, 0.364], [0.863, 0.735, 0.636], [0.863, 0.765, 0.136], [0.999, 0.731, 0.374], [0.999, 0.769, 0.874], [0.205, 0.577, 0.881], [0.205, 0.923, 0.381], [0.206, 0.187, 0.031], [0.206, 0.313, 0.531], [0.207, 0.739, 0.637], [0.207, 0.761, 0.137], [0.231, 0.541, 0.353], [0.231, 0.959, 0.853], [0.235, 0.236, 0.224], [0.235, 0.264, 0.724], [0.765, 0.736, 0.276], [0.765, 0.764, 0.776], [0.769, 0.041, 0.147], [0.769, 0.459, 0.647], [0.793, 0.239, 0.863], [0.793, 0.261, 0.363], [0.794, 0.687, 0.469], [0.794, 0.813, 0.969], [0.795, 0.077, 0.619], [0.795, 0.423, 0.119]],
  "raw_formation_energy_ev_per_fu": -3.635,
  "total_energy_ev_per_cell": -150.3,
  "n_ef_per_ev_atom": 0.00
}

[14]
{
  "formula": "K2ZnIr",
  "functional": "PBEsol",
  "state": "optimized geometry",
  "lattice": [[2.120, 1.224, 8.887], [-2.120, 1.224, 8.887], [0.000, -2.448, 8.887]],
  "species": ["K", "K", "Zn", "Ir"],
  "frac_coords": [[0.000, 0.000, 0.000], [0.166, 0.166, 0.166], [0.750, 0.750, 0.750], [0.416, 0.416, 0.416]],
  "e_form_kj_per_mol_atoms": 33.1,
  "total_energy_ev_per_cell": -12.3,
  "n_ef_per_ev_atom": 0.63
}

[15]
{
  "formula": "ScHg2Ru",
  "functional": "PBEsol",
  "state": "optimized geometry",
  "lattice": [[-2.052, 2.056, 4.197], [2.052, -2.056, 4.197], [2.052, 2.056, -4.197]],
  "species": ["Sc", "Hg", "Hg", "Ru"],
  "frac_coords": [[0.000, 0.000, 0.000], [0.250, 0.750, 0.500], [0.501, 0.501, 0.000], [0.751, 0.251, 0.500]],
  "e_form_kj_per_mol_atoms": -13.2,
  "total_energy_ev_per_cell": -18.5,
  "de_polymorph_mev_per_atom": 0.0,
  "n_ef_per_ev_atom": 0.50
}

[16]
{
  "formula": "ScCl2O",
  "functional": "PBEsol",
  "state": "optimized geometry",
  "lattice": [[1.833, 1.058, 7.870], [-1.833, 1.058, 7.870], [0.000, -2.117, 7.870]],
  "species": ["Sc", "Cl", "Cl", "O"],
  "frac_coords": [[0.000, 0.000, 0.000], [0.097, 0.097, 0.097], [0.903, 0.903, 0.903], [0.500, 0.500, 0.500]],
  "raw_formation_energy_ev_per_fu": 0.089,
  "total_energy_ev_per_cell": -15.8,
  "de_polymorph_mev_per_atom": 1786.9,
  "n_ef_per_ev_atom": 1.40
}

[17]
{
  "formula": "ReMo",
  "functional": "PBEsol",
  "state": "optimized geometry",
  "lattice": [[2.730, 0.000, 0.000], [0.000, 2.730, 0.000], [0.000, 0.000, 8.147]],
  "species": ["Re", "Re", "Mo", "Mo"],
  "frac_coords": [[0.250, 0.250, 0.113], [0.750, 0.750, 0.887], [0.250, 0.250, 0.635], [0.750, 0.750, 0.365]],
  "e_form_kj_per_mol_atoms": 17.4,
  "total_energy_ev_per_cell": -49.5,
  "de_polymorph_mev_per_atom": 78.7,
  "n_ef_per_ev_atom": 0.67
}

[18]
{
  "formula": "TaZnCl3",
  "functional": "PBEsol",
  "state": "optimized geometry",
  "lattice": [[4.817, 0.000, 0.000], [0.000, 4.817, 0.000], [0.000, 0.000, 4.817]],
  "species": ["Ta", "Zn", "Cl", "Cl", "Cl"],
  "frac_coords": [[0.000, 0.000, 0.000], [0.500, 0.500, 0.500], [0.000, 0.000, 0.500], [0.000, 0.500, 0.000], [0.500, 0.000, 0.000]],
  "raw_formation_energy_ev_per_fu": -1.961,
  "total_energy_ev_per_cell": -22.1,
  "de_polymorph_mev_per_atom": 0.0,
  "n_ef_per_ev_atom": 0.38
}

[19]
{
  "formula": "Y3FeRe",
  "functional": "PBEsol",
  "state": "optimized geometry",
  "lattice": [[4.863, 0.000, 0.000], [0.000, 4.863, 0.000], [0.000, 0.000, 4.863]],
  "species": ["Y", "Y", "Y", "Fe", "Re"],
  "frac_coords": [[0.000, 0.000, 0.500], [0.000, 0.500, 0.000], [0.500, 0.000, 0.000], [0.000, 0.000, 0.000], [0.500, 0.500, 0.500]],
  "e_form_kj_per_mol_atoms": 78.7,
  "total_energy_ev_per_cell": -38.7,
  "n_ef_per_ev_atom": 1.25
}